Record 1
Density functional theory data (GGA-PBE) for K8Rb6Pd after structural relaxation.

Cell: 12.7308 12.7308 23.4495 Å, 90.00 90.00 120.00°
Space group R-3 (No. 148, hexagonal axes)
Unique sites:
K  0.0000  0.0000  0.2454 x6
K  0.0501  0.8243  0.9198 x18
Rb  0.0417  0.8003  0.4152 x18
Pd  0.0000  0.0000  0.0000 x3

Computed properties:
**ΔH_f (0 K)**: 0.021 eV/atom
**Fermi-level density of states**: 29.6 states/eV per cell
**Crystal system**: trigonal
**DFT total energy**: -58.40 eV per cell

Record 2
Density functional theory data (GGA-PBE) for Y3HgH after structural relaxation.

Cell: 9.607 13.340 3.726 Å, 90.00 90.00 90.00°
Space group Cmmm (No. 65)
Unique sites:
Y  0.000  0.193  0.000 x4
Y  0.193  0.371  0.500 x8
Hg  0.000  0.000  0.500 x2
Hg  0.000  0.500  0.000 x2
H  0.250  0.250  0.000 x4

Computed properties:
**Fermi-level density of states**: 22.2 states/eV per cell
**Crystal system**: orthorhombic
**DFT total energy**: -97.60 eV per cell